(1)
Density functional theory data (PBE-GGA) for an optimized crystal structure of CuReF2.

The structure belongs to space group I-42d (No. 122); the cell edges are 7.062, 7.062 and 4.981 Å and the angles 90.00°, 90.00° and 90.00°. The asymmetric unit holds Cu at (0.000, 0.000, 0.000), Re at (0.000, 0.000, 0.500) and F at (0.141, 0.250, 0.625).

---

(2)
Density functional theory data (PBE-GGA) for an optimized crystal structure of Cu2Re2F.

The structure belongs to space group I4/mmm (No. 139); the cell edges are 3.492, 3.492 and 13.274 Å and the angles 90.00°, 90.00° and 90.00°. The asymmetric unit holds Cu at (0.000, 0.000, 0.098), Re at (0.000, 0.500, 0.250) and F at (0.000, 0.000, 0.500).

---

Number 1: V 62 Å³/f.u., E_form (uncorrected) 0.057 eV/atom. Number 2: V 81 Å³/f.u., E_form (uncorrected) 0.500 eV/atom.